VASP calculation (GGA+U) on a relaxed LiPuCoO5 crystal.

Raw total energy (eV per atom): -7.6696

Unit cell a=5.9289 b=5.9289 c=8.1905 alpha=105.05 beta=105.05 gamma=115.14
Closest atoms and distances in Å follow each position.
Element x y z (fractional)
Pu1 0.0000 0.0000 0.0000  2 O 1.84
Pu2 0.0000 0.0000 0.5000  2 O 1.84
O1 0.0851 0.9149 0.2500  1 Co 1.89
O2 0.3488 0.0131 0.6464  1 Co 1.87, 1 Li 2.03, 1 Pu 2.06
O3 0.1918 0.3706 0.5627  1 Pu 1.84, 1 Li 2.02
O4 0.9149 0.0851 0.7500  1 Co 1.89
O5 0.6512 0.9869 0.3536  1 Co 1.87, 1 Li 2.03, 1 Pu 2.06
O6 0.9869 0.6512 0.8536  1 Co 1.87, 1 Li 2.03, 1 Pu 2.06
O7 0.6294 0.8082 0.9373  1 Pu 1.84, 1 Li 2.02
O8 0.3706 0.1918 0.0627  1 Pu 1.84, 1 Li 2.02
O9 0.0131 0.3488 0.1464  1 Co 1.87, 1 Li 2.03, 1 Pu 2.06
O10 0.8082 0.6294 0.4373  1 Pu 1.84, 1 Li 2.02
Co1 0.7260 0.2740 0.7500  3 O 1.87-1.89
Co2 0.2740 0.7260 0.2500  3 O 1.87-1.89
Li1 0.7257 0.2743 0.2500  4 O 2.02-2.03
Li2 0.2743 0.7257 0.7500  4 O 2.02-2.03

VASP calculation (GGA+U) on a relaxed Li2PuCoO6 crystal.

Raw total energy (eV per atom): -7.0676

Unit cell a=4.1529 b=5.6569 c=5.6569 alpha=90.00 beta=90.00 gamma=90.00
Closest atoms and distances in Å follow each position.
Element x y z (fractional)
O1 0.2098 0.5000 0.5000  2 Pu 2.06-2.09
O2 0.7310 0.2529 0.7471  1 Pu 1.98, 1 Co 2.07, 2 Li 2.10
O3 0.7310 0.7471 0.2529  1 Pu 1.98, 1 Co 2.07, 2 Li 2.10
O4 0.7310 0.7471 0.7471  1 Pu 1.98, 1 Co 2.07, 2 Li 2.10
O5 0.2128 0.0000 0.0000  1 Co 1.70
O6 0.7310 0.2529 0.2529  1 Pu 1.98, 1 Co 2.07, 2 Li 2.10
Li1 0.8858 0.5000 0.0000  4 O 2.10
Li2 0.8858 0.0000 0.5000  4 O 2.10
Co1 0.6227 0.0000 0.0000  1 O 1.70
Pu1 0.7058 0.5000 0.5000  6 O 1.98-2.09

VASP calculation (GGA+U) on a relaxed RbLiCoO3 crystal.

Raw total energy (eV per atom): -5.0819

Unit cell a=5.4221 b=5.5582 c=5.8565 alpha=118.33 beta=90.00 gamma=90.00
Closest atoms and distances in Å follow each position.
Element x y z (fractional)
Rb1 0.2500 0.7342 0.4684  4 O 2.75-2.78
Rb2 0.7500 0.2658 0.5316  4 O 2.75-2.78
O1 0.0000 0.2233 0.0000  2 Co 1.91
O2 0.5000 0.2233 0.0000  2 Co 1.91
O3 0.5000 0.7767 0.0000  2 Co 1.91
O4 0.7500 0.7770 0.5539  1 Co 1.77
O5 0.2500 0.2230 0.4461  1 Co 1.77
O6 0.0000 0.7767 0.0000  2 Co 1.91
Co1 0.7500 0.9490 0.8979  5 O 1.77-1.91
Co2 0.2500 0.0510 0.1021  5 O 1.77-1.91
Li1 0.2500 0.4242 0.8483  5 O 2.07-2.19
Li2 0.7500 0.5758 0.1517  5 O 2.07-2.19

VASP calculation (GGA+U) on a relaxed Rb2LiCoO4 crystal.

Raw total energy (eV per atom): -4.8169

Unit cell a=4.9401 b=6.4769 c=10.2928 alpha=84.75 beta=76.11 gamma=67.58
Closest atoms and distances in Å follow each position.
Element x y z (fractional)
Rb1 0.1754 0.0000 0.6492  8 O 3.00-3.30
Rb2 0.5746 0.5000 0.8508  8 O 3.00-3.30
Rb3 0.9254 0.5000 0.1492  8 O 3.00-3.30
Rb4 0.8246 0.0000 0.3508  8 O 3.00-3.30
O1 0.3250 0.8204 0.0812  1 Co 1.74, 1 Li 1.92
O2 0.5233 0.3204 0.5812  1 Co 1.74, 1 Li 1.92
O3 0.2267 0.1795 0.9188  1 Co 1.74, 1 Li 1.92
O4 0.1562 0.3204 0.4188  1 Co 1.74, 1 Li 1.92
O5 0.8955 0.6796 0.5812  1 Co 1.74, 1 Li 1.92
O6 0.4250 0.6796 0.4188  1 Co 1.74, 1 Li 1.92
O7 0.8545 0.8204 0.9188  1 Co 1.74, 1 Li 1.92
O8 0.5938 0.1795 0.0812  1 Co 1.74, 1 Li 1.92
Co1 0.2500 0.5000 0.5000  4 O 1.74
Co2 0.5000 0.0000 0.0000  4 O 1.74
Li1 0.7500 0.5000 0.5000  4 O 1.92
Li2 0.0000 0.0000 0.0000  4 O 1.92

VASP calculation (GGA+U) on a relaxed Li2CoRh3O6 crystal.

Raw total energy (eV per atom): -5.9782

Unit cell a=5.3887 b=5.3887 c=5.2937 alpha=102.37 beta=102.37 gamma=117.92
Closest atoms and distances in Å follow each position.
Element x y z (fractional)
Rh1 0.8324 0.1676 0.5000  6 O 2.09-2.11
Rh2 0.1676 0.8324 0.5000  6 O 2.09-2.11
Rh3 0.5000 0.5000 0.5000  4 O 2.11
Co1 0.0000 0.0000 0.0000  6 O 2.11-2.15
O1 0.7797 0.7797 0.2417  2 Rh 2.09, 1 Co 2.11, 2 Li 2.14
O2 0.4027 0.0716 0.2769  3 Rh 2.10-2.11, 1 Co 2.15, 1 Li 2.21
O3 0.2203 0.2203 0.7583  2 Rh 2.09, 1 Co 2.11, 2 Li 2.14
O4 0.5973 0.9284 0.7231  3 Rh 2.10-2.11, 1 Co 2.15, 1 Li 2.21
O5 0.9284 0.5973 0.7231  3 Rh 2.10-2.11, 1 Co 2.15, 1 Li 2.21
O6 0.0716 0.4027 0.2769  3 Rh 2.10-2.11, 1 Co 2.15, 1 Li 2.21
Li1 0.3402 0.6598 0.0000  4 O 2.14-2.21
Li2 0.6598 0.3402 0.0000  4 O 2.14-2.21

VASP calculation (GGA+U) on a relaxed Li2CoRhO4 crystal.

Raw total energy (eV per atom): -5.8299

Unit cell a=2.9532 b=5.1710 c=5.0436 alpha=109.86 beta=90.00 gamma=90.00
Closest atoms and distances in Å follow each position.
Element x y z (fractional)
O1 0.5000 0.7737 0.7800  2 Co 1.97, 1 Rh 2.07, 3 Li 2.12-2.20
O2 0.5000 0.2263 0.2200  2 Co 1.97, 1 Rh 2.07, 3 Li 2.12-2.20
O3 0.0000 0.2395 0.7738  1 Co 1.95, 2 Rh 2.06, 2 Li 2.11
O4 0.0000 0.7605 0.2262  1 Co 1.95, 2 Rh 2.06, 2 Li 2.11
Rh1 0.5000 0.5000 0.0000  6 O 2.06-2.07
Co1 0.0000 0.0000 0.0000  6 O 1.95-1.97
Li1 0.5000 0.0000 0.5000  6 O 2.11-2.12
Li2 0.0000 0.5000 0.5000  6 O 2.20-2.23

VASP calculation (GGA+U) on a relaxed Li2CoRh2O6 crystal.

Raw total energy (eV per atom): -5.9955

Unit cell a=5.0830 b=5.0830 c=5.1539 alpha=99.46 beta=99.46 gamma=117.39
Closest atoms and distances in Å follow each position.
Element x y z (fractional)
O1 0.2264 0.2264 0.2730  1 Co 1.92, 2 Rh 2.07, 2 Li 2.10
O2 0.6095 0.9415 0.2901  1 Co 1.96, 2 Rh 2.03-2.07, 1 Li 2.18
O3 0.9415 0.6095 0.2901  1 Co 1.96, 2 Rh 2.03-2.07, 1 Li 2.18
O4 0.0585 0.3905 0.7099  1 Co 1.96, 2 Rh 2.03-2.07, 1 Li 2.18
O5 0.3905 0.0585 0.7099  1 Co 1.96, 2 Rh 2.03-2.07, 1 Li 2.18
O6 0.7736 0.7736 0.7270  1 Co 1.92, 2 Rh 2.07, 2 Li 2.10
Rh1 0.6580 0.3420 0.5000  6 O 2.03-2.07
Rh2 0.3420 0.6580 0.5000  6 O 2.03-2.07
Co1 0.0000 0.0000 0.5000  6 O 1.92-1.96
Li1 0.1658 0.8342 0.0000  6 O 2.10-2.26
Li2 0.8342 0.1658 0.0000  6 O 2.10-2.26

VASP calculation (GGA+U) on a relaxed Li3CoRuO5 crystal.

Raw total energy (eV per atom): -5.9559

Unit cell a=7.8154 b=7.8154 c=5.1755 alpha=83.79 beta=83.79 gamma=141.21
Closest atoms and distances in Å follow each position.
Element x y z (fractional)
Li1 0.8009 0.1991 0.0000  6 O 2.09-2.19
Li2 0.4009 0.5991 0.0000  6 O 2.09-2.25
Li3 0.5991 0.4009 0.0000  6 O 2.09-2.25
Li4 0.5000 0.5000 0.5000  6 O 2.12-2.14
Li5 0.1991 0.8009 0.0000  6 O 2.09-2.19
Li6 0.0000 0.0000 0.0000  6 O 2.09-2.16
Co1 0.2976 0.7024 0.5000  6 O 2.09-2.10
Co2 0.7024 0.2976 0.5000  6 O 2.09-2.10
Ru1 0.8976 0.1024 0.5000  6 O 1.97-2.04
Ru2 0.1024 0.8976 0.5000  6 O 1.97-2.04
O1 0.1347 0.3400 0.7289  1 Ru 1.97, 1 Co 2.09, 3 Li 2.09-2.16
O2 0.8653 0.6600 0.2711  1 Ru 1.97, 1 Co 2.09, 3 Li 2.09-2.16
O3 0.0513 0.4420 0.2590  1 Ru 2.01, 2 Co 2.09-2.10, 3 Li 2.09-2.19
O4 0.9487 0.5580 0.7410  1 Ru 2.01, 2 Co 2.09-2.10, 3 Li 2.09-2.19
O5 0.6600 0.8653 0.2711  1 Ru 1.97, 1 Co 2.09, 3 Li 2.09-2.16
O6 0.3400 0.1347 0.7289  1 Ru 1.97, 1 Co 2.09, 3 Li 2.09-2.16
O7 0.5580 0.9487 0.7410  1 Ru 2.01, 2 Co 2.09-2.10, 3 Li 2.09-2.19
O8 0.7746 0.7746 0.7320  2 Ru 2.04, 4 Li 2.09-2.19
O9 0.2254 0.2254 0.2680  2 Ru 2.04, 4 Li 2.09-2.19
O10 0.4420 0.0513 0.2590  1 Ru 2.01, 2 Co 2.09-2.10, 3 Li 2.09-2.19

VASP calculation (GGA+U) on a relaxed Li4CoRuO6 crystal.

Raw total energy (eV per atom): -5.8517

Unit cell a=5.0460 b=5.0460 c=5.0987 alpha=80.45 beta=80.45 gamma=119.97
Closest atoms and distances in Å follow each position.
Element x y z (fractional)
O1 0.2658 0.2485 0.2734  1 Co 1.94, 1 Ru 1.98, 3 Li 2.07-2.10
O2 0.9032 0.5949 0.2727  1 Co 1.94, 1 Ru 1.98, 3 Li 2.09-2.17
O3 0.7515 0.7342 0.7266  1 Co 1.94, 1 Ru 1.98, 3 Li 2.07-2.10
O4 0.5589 0.8874 0.2690  1 Co 1.96, 1 Ru 1.99, 4 Li 2.04-2.16
O5 0.1126 0.4411 0.7310  1 Co 1.96, 1 Ru 1.99, 4 Li 2.04-2.16
O6 0.4051 0.0968 0.7273  1 Co 1.94, 1 Ru 1.98, 3 Li 2.09-2.17
Li1 0.8327 0.1673 0.5000  6 O 2.10-2.11
Li2 0.6695 0.3305 0.0000  6 O 2.07-2.17
Li3 0.9921 0.0079 0.0000  6 O 2.09-2.20
Li4 0.3425 0.6575 0.0000  6 O 2.04-2.25
Co1 0.4997 0.5003 0.5000  6 O 1.94-1.96
Ru1 0.1663 0.8337 0.5000  6 O 1.98-1.99

VASP calculation (GGA+U) on a relaxed LiCoRuO6 crystal.

Raw total energy (eV per atom): -5.9555

Unit cell a=4.9983 b=4.9983 c=9.0088 alpha=90.00 beta=90.00 gamma=120.00
Closest atoms and distances in Å follow each position.
Element x y z (fractional)
O1 0.9961 0.3726 0.1359  1 Co 1.87, 1 Ru 1.89
O2 0.0039 0.6274 0.8641  1 Co 1.87, 1 Ru 1.89
O3 0.6274 0.0039 0.3641  1 Co 1.87, 1 Ru 1.89
O4 0.3765 0.0039 0.1359  1 Co 1.87, 1 Ru 1.89
O5 0.3726 0.3765 0.8641  1 Co 1.87, 1 Ru 1.89
O6 0.3726 0.9961 0.6359  1 Co 1.87, 1 Ru 1.89
O7 0.6235 0.6274 0.6359  1 Co 1.87, 1 Ru 1.89
O8 0.9961 0.6235 0.3641  1 Co 1.87, 1 Ru 1.89
O9 0.3765 0.3726 0.3641  1 Co 1.87, 1 Ru 1.89
O10 0.6235 0.9961 0.8641  1 Co 1.87, 1 Ru 1.89
O11 0.0039 0.3765 0.6359  1 Co 1.87, 1 Ru 1.89
O12 0.6274 0.6235 0.1359  1 Co 1.87, 1 Ru 1.89
Ru1 0.6667 0.3333 0.7500  6 O 1.89
Ru2 0.3333 0.6667 0.2500  6 O 1.89
Li1 0.0000 0.0000 0.5000  6 O 2.24
Li2 0.0000 0.0000 0.0000  6 O 2.24
Co1 0.3333 0.6667 0.7500  6 O 1.87
Co2 0.6667 0.3333 0.2500  6 O 1.87

VASP calculation (GGA+U) on a relaxed Li2CoS2O8 crystal.

Raw total energy (eV per atom): -6.0076

Unit cell a=8.1921 b=5.0339 c=8.9242 alpha=58.50 beta=90.00 gamma=90.00
Closest atoms and distances in Å follow each position.
Element x y z (fractional)
Li1 0.3629 0.9908 0.1009  4 O 1.93-2.14
Li2 0.6371 0.0092 0.8991  4 O 1.93-2.14
Li3 0.1371 0.9908 0.6009  4 O 1.93-2.14
Li4 0.8629 0.0092 0.3991  4 O 1.93-2.14
S1 0.3054 0.3327 0.6993  4 O 1.47-1.50
S2 0.8054 0.6673 0.8007  4 O 1.47-1.50
S3 0.1946 0.3327 0.1993  4 O 1.47-1.50
S4 0.6946 0.6673 0.3007  4 O 1.47-1.50
O1 0.6480 0.7257 0.4428  1 S 1.49
O2 0.1961 0.6770 0.1241  1 S 1.50
O3 0.3520 0.2743 0.5572  1 S 1.49
O4 0.1480 0.2743 0.0572  1 S 1.49
O5 0.1364 0.2037 0.7551  1 S 1.50
O6 0.6961 0.3230 0.3759  1 S 1.50
O7 0.8520 0.7257 0.9428  1 S 1.49
O8 0.8636 0.7963 0.2449  1 S 1.50
O9 0.5803 0.8171 0.1520  1 S 1.47
O10 0.6364 0.7963 0.7449  1 S 1.50
O11 0.9197 0.8171 0.6520  1 S 1.47
O12 0.3039 0.6770 0.6241  1 S 1.50
O13 0.0803 0.1829 0.3480  1 S 1.47
O14 0.3636 0.2037 0.2551  1 S 1.50
O15 0.4197 0.1829 0.8480  1 S 1.47
O16 0.8039 0.3230 0.8759  1 S 1.50
Co1 0.0000 0.0000 0.0000  6 O 2.09-2.18
Co2 0.5000 0.0000 0.5000  6 O 2.09-2.18

VASP calculation (GGA+U) on a relaxed LiCoS2O8 crystal.

Raw total energy (eV per atom): -5.9313

Unit cell a=8.2464 b=8.2565 c=8.9345 alpha=62.37 beta=61.94 gamma=60.37
Closest atoms and distances in Å follow each position.
Element x y z (fractional)
O1 0.3413 0.0201 0.6844  1 S 1.48
O2 0.2739 0.5217 0.0869  1 S 1.47
O3 0.6077 0.3832 0.7685  1 S 1.51
O4 0.6705 0.9958 0.3180  1 S 1.49
O5 0.1324 0.2692 0.0863  1 S 1.51
O6 0.6355 0.7652 0.2426  1 S 1.48
O7 0.7758 0.3628 0.2226  1 S 1.44
O8 0.3541 0.6372 0.2417  1 S 1.46
O9 0.2394 0.6184 0.7604  1 S 1.48
O10 0.7175 0.6496 0.5965  1 S 1.54
O11 0.0010 0.0241 0.3115  1 S 1.51
O12 0.0354 0.7195 0.5925  1 S 1.55
O13 0.6934 0.5026 0.9152  1 S 1.43
O14 0.0164 0.6737 0.3088  1 S 1.52
O15 0.5400 0.1144 0.0830  1 S 1.47
O16 0.8846 0.7127 0.9098  1 S 1.43
O17 0.9485 0.3239 0.7088  1 S 1.48
O18 0.3463 0.9843 0.3853  1 S 1.52
O19 0.4724 0.8985 0.9223  1 S 1.44
O20 0.2669 0.3522 0.3977  1 S 1.50
O21 0.9710 0.2897 0.3912  1 S 1.52
O22 0.3859 0.2449 0.7546  1 S 1.50
O23 0.6688 0.0176 0.6128  1 S 1.53
O24 0.0256 0.9580 0.6912  1 S 1.50
S1 0.9628 0.2394 0.2525  4 O 1.44-1.52
S2 0.0400 0.7501 0.7488  4 O 1.43-1.55
S3 0.7447 0.4629 0.7561  4 O 1.43-1.54
S4 0.2321 0.5460 0.2561  4 O 1.46-1.52
S5 0.5522 0.9648 0.2551  4 O 1.47-1.52
S6 0.4639 0.0398 0.7503  4 O 1.44-1.53
Co1 0.1497 0.1521 0.5509  6 O 1.93-2.08
Co2 0.3592 0.3489 0.9320  6 O 1.94-2.10
Co3 0.8411 0.8459 0.4708  6 O 1.90-2.03
Li1 0.8067 0.5661 0.3782  4 O 1.91-2.05
Li2 0.6384 0.6493 0.0653  6 O 1.96-2.19
Li3 0.2505 0.8150 0.3721  4 O 1.91-2.07

Among the records above, which one has the lowest raw total energy? LiPuCoO5

Among the records above, which one has the lowest raw total energy? LiPuCoO5